First-principles (PBE-GGA) data for LiNp2I8 after structural relaxation, as listed in Alexandria via LeMat-Bulk.

Structure (extended XYZ):
```
11
Lattice="7.8477 0.0000 0.0000 3.8017 7.6837 0.0000 1.1744 0.9427 9.5807" Properties=species:S:1:pos:R:3 pbc="T T T"
Li 0.0000 0.0000 0.0000
Np 2.5563 0.7549 5.9476
Np 10.2675 7.8715 3.6331
I 1.1913 1.8832 3.3824
I 3.5267 5.6289 2.0164
I 7.2855 7.1936 8.4761
I 5.0951 2.3869 5.3498
I 7.7286 6.2395 4.2309
I 5.5383 1.4328 1.1046
I 9.2970 2.9975 7.5643
I 11.6324 6.7432 6.1983
```

excess energy over the best structure of this formula in the dataset	0.00	kcal/mol of atoms
raw formation energy	-9.73	eV per formula unit
energy	-4.5384	eV per atom
size of the total moment	7.00	μB per formula unit



First-principles (PBE-GGA) data for Li2NpI8 after structural relaxation, as listed in Alexandria via LeMat-Bulk.

Structure (extended XYZ):
```
11
Lattice="8.1910 -4.0781 0.0000 8.1910 4.0781 0.0000 -0.2110 0.0000 7.2487" Properties=species:S:1:pos:R:3 pbc="T T T"
Li 2.5941 0.0000 2.9754
Li 13.5769 0.0000 4.2732
Np 0.0000 0.0000 0.0000
I 2.3689 0.0000 5.8156
I 6.9243 2.0242 5.4509
I 9.2467 2.0242 1.7977
I 5.1796 0.0000 2.3833
I 10.9914 0.0000 4.8654
I 6.9243 -2.0242 5.4509
I 9.2467 -2.0242 1.7977
I 13.8021 0.0000 1.4331
```

raw formation energy	-7.34	eV per formula unit
energy	-3.3186	eV per atom
size of the total moment	0.86	μB per formula unit



First-principles (PBE-GGA) data for Li5Np3I12 after structural relaxation, as listed in Alexandria via LeMat-Bulk.

Structure (extended XYZ):
```
80
Lattice="-8.8908 8.8908 8.8908 8.8908 -8.8908 8.8908 8.8908 8.8908 -8.8908" Properties=species:S:1:pos:R:3 pbc="T T T"
Li 0.0000 0.0000 0.0000
Li 4.4454 4.4454 -4.4454
Li 4.4454 -4.4454 4.4454
Li 8.8908 0.0000 0.0000
Li 13.3362 2.2227 0.0000
Li 8.8908 -4.4454 6.6681
Li 6.6681 8.8908 -4.4454
Li 6.6681 0.0000 4.4454
Li 4.4454 6.6681 0.0000
Li 8.8908 4.4454 2.2227
Li -4.4454 4.4454 4.4454
Li 0.0000 8.8908 0.0000
Li 0.0000 0.0000 8.8908
Li 4.4454 4.4454 4.4454
Li 0.0000 4.4454 6.6681
Li 4.4454 2.2227 8.8908
Li 2.2227 8.8908 4.4454
Li 2.2227 0.0000 13.3362
Li 0.0000 13.3362 2.2227
Li -4.4454 6.6681 8.8908
Np 4.4454 2.2227 0.0000
Np 8.8908 4.4454 -2.2227
Np 2.2227 0.0000 4.4454
Np 11.1135 0.0000 4.4454
Np 0.0000 4.4454 2.2227
Np 4.4454 -2.2227 8.8908
Np 4.4454 11.1135 0.0000
Np 8.8908 4.4454 6.6681
Np -2.2227 8.8908 4.4454
Np 6.6681 8.8908 4.4454
Np 0.0000 4.4454 11.1135
Np 4.4454 6.6681 8.8908
I 2.7111 -0.4882 1.1242
I 10.6250 5.5696 -4.9336
I 8.4026 -1.1242 2.7111
I 13.8244 -1.7343 3.3212
I 11.6019 0.4882 1.1242
I 10.6250 -3.3212 4.9336
I 1.1242 2.7111 -0.4882
I 12.2120 3.9572 -1.7343
I 5.5696 4.9336 -1.7343
I 7.7666 2.7111 0.4882
I -0.4882 1.1242 2.7111
I 4.9336 -1.7343 5.5696
I 8.4026 7.7666 -2.7111
I 4.9336 1.7343 3.3212
I 7.7666 -2.7111 8.4026
I 5.5696 -4.9336 10.6250
I 3.3212 4.9336 1.7343
I 10.0150 6.1796 0.4882
I 2.7111 8.4026 -1.1242
I 10.6250 3.3212 3.9572
I 4.9336 10.6250 -3.3212
I 8.4026 1.1242 6.1796
I 1.7343 3.3212 4.9336
I 2.7111 0.4882 7.7666
I 6.1796 8.4026 1.1242
I 7.1565 5.5696 3.9572
I 0.4882 7.7666 2.7111
I 3.9572 -1.7343 12.2120
I -1.7343 5.5696 4.9336
I 6.1796 0.4882 10.0150
I -1.1242 2.7111 8.4026
I 5.5696 3.9572 7.1565
I 3.3212 13.8244 -1.7343
I 1.1242 11.6019 0.4882
I 3.9572 7.1565 5.5696
I 0.4882 1.1242 11.6019
I 3.9572 10.6250 3.3212
I 9.3790 7.7666 6.1796
I 1.1242 6.1796 8.4026
I 3.3212 3.9572 10.6250
I -3.3212 4.9336 10.6250
I 7.7666 6.1796 9.3790
I -1.7343 12.2120 3.9572
I -2.7111 8.4026 7.7666
I -4.9336 10.6250 5.5696
I 0.4882 10.0150 6.1796
I -1.7343 3.3212 13.8244
I 6.1796 9.3790 7.7666
```

raw formation energy	-18.09	eV per formula unit
energy	-4.2540	eV per atom
size of the total moment	14.00	μB per formula unit



First-principles (PBE-GGA) data for LiNpI4 after structural relaxation, as listed in Alexandria via LeMat-Bulk.

Structure (extended XYZ):
```
6
Lattice="7.5361 0.0000 0.0000 0.0000 4.4540 0.0000 -0.4702 0.0000 7.5994" Properties=species:S:1:pos:R:3 pbc="T T T"
Li 0.0000 0.0000 0.0000
Np -0.2351 2.2270 3.7997
I 1.5750 2.2270 1.3175
I 1.4993 0.0000 5.1536
I 5.5666 0.0000 2.4457
I 5.4909 2.2270 6.2819
```

excess energy over the best structure of this formula in the dataset	0.00	kcal/mol of atoms
raw formation energy	-5.76	eV per formula unit
energy	-4.4699	eV per atom
size of the total moment	4.00	μB per formula unit



First-principles (PBE-GGA) data for LiNp2I6 after structural relaxation, as listed in Alexandria via LeMat-Bulk.

Structure (extended XYZ):
```
9
Lattice="8.5921 -2.1922 0.0000 8.5921 2.1922 0.0000 -3.5767 0.0000 10.2867" Properties=species:S:1:pos:R:3 pbc="T T T"
Li 0.0000 0.0000 0.0000
Np 3.3911 0.0000 6.8883
Np 10.2164 0.0000 3.3984
I -0.5943 0.0000 3.1270
I 3.8799 0.0000 3.7413
I 2.9720 0.0000 9.9239
I 10.6355 0.0000 0.3628
I 9.7276 0.0000 6.5455
I 14.2018 0.0000 7.1597
```

raw formation energy	-7.83	eV per formula unit
energy	-4.9914	eV per atom
size of the total moment	9.00	μB per formula unit



First-principles (PBE-GGA) data for LiNpI6 after structural relaxation, as listed in Alexandria via LeMat-Bulk.

Structure (extended XYZ):
```
8
Lattice="3.7718 2.1776 6.8034 -3.7718 2.1776 6.8034 0.0000 -4.3553 6.8034" Properties=species:S:1:pos:R:3 pbc="T T T"
Li 0.0000 0.0000 0.0000
Np 0.0000 0.0000 10.2051
I -1.1299 -2.1135 8.5060
I -2.3953 -0.0782 11.9042
I -1.2654 2.0353 8.5060
I 1.2654 -2.0353 11.9042
I 2.3953 0.0782 8.5060
I 1.1299 2.1135 11.9042
```

excess energy over the best structure of this formula in the dataset	0.00	kcal/mol of atoms
raw formation energy	-5.90	eV per formula unit
energy	-3.7572	eV per atom
size of the total moment	2.00	μB per formula unit



First-principles (PBE-GGA) data for LiNpI4 after structural relaxation, as listed in Alexandria via LeMat-Bulk.

Structure (extended XYZ):
```
6
Lattice="-3.6936 3.6936 4.0828 3.6936 -3.6936 4.0828 3.6936 3.6936 -4.0828" Properties=species:S:1:pos:R:3 pbc="T T T"
Li 0.0000 0.0000 0.0000
Np 0.0000 3.6936 2.0414
I 1.6878 2.0191 -0.8370
I 5.3681 1.6878 0.8370
I 2.0058 1.6745 3.2458
I -1.6745 2.0058 4.9198
```

excess energy over the best structure of this formula in the dataset	3.15	kcal/mol of atoms
raw formation energy	-4.94	eV per formula unit
energy	-4.3331	eV per atom
size of the total moment	4.00	μB per formula unit



First-principles (PBE-GGA) data for LiNp2I8 after structural relaxation, as listed in Alexandria via LeMat-Bulk.

Structure (extended XYZ):
```
11
Lattice="8.0825 -5.9192 0.0000 8.0825 5.9192 0.0000 -0.0884 0.0000 6.1602" Properties=species:S:1:pos:R:3 pbc="T T T"
Li 0.0000 0.0000 0.0000
Np 3.4451 0.0000 1.5305
Np 12.6314 0.0000 4.6297
I 6.5280 3.7505 4.7417
I 3.4117 0.0000 4.6139
I 9.5485 3.7505 1.4185
I 6.3592 0.0000 1.5880
I 9.7173 0.0000 4.5722
I 6.5280 -3.7505 4.7417
I 12.6648 0.0000 1.5463
I 9.5485 -3.7505 1.4185
```

excess energy over the best structure of this formula in the dataset	3.43	kcal/mol of atoms
raw formation energy	-8.09	eV per formula unit
energy	-4.3898	eV per atom
size of the total moment	7.00	μB per formula unit



First-principles (PBE-GGA) data for LiNpI after structural relaxation, as listed in Alexandria via LeMat-Bulk.

Structure (extended XYZ):
```
6
Lattice="3.9110 0.0000 0.0000 0.0000 3.9110 0.0000 0.0000 0.0000 9.2926" Properties=species:S:1:pos:R:3 pbc="T T T"
Li 0.9777 0.9777 1.8237
Li 2.9332 2.9332 7.4688
Np 0.9777 2.9332 4.6463
Np 2.9332 0.9777 4.6463
I 0.9777 0.9777 7.6164
I 2.9332 2.9332 1.6762
```

raw formation energy	-0.60	eV per formula unit
energy	-5.6695	eV per atom
size of the total moment	3.49	μB per formula unit



First-principles (PBE-GGA) data for LiNpI6 after structural relaxation, as listed in Alexandria via LeMat-Bulk.

Structure (extended XYZ):
```
8
Lattice="7.4542 0.0000 0.0000 -3.7271 6.4555 0.0000 0.0000 0.0000 6.8596" Properties=species:S:1:pos:R:3 pbc="T T T"
Li 0.0000 0.0000 0.0000
Np 0.0000 4.3037 3.4298
I -1.1895 2.2215 1.7307
I -2.3980 4.3147 5.1290
I 1.1895 2.2215 5.1290
I -1.2085 6.3749 1.7307
I 2.3979 4.3147 1.7307
I 1.2085 6.3749 5.1290
```

excess energy over the best structure of this formula in the dataset	0.09	kcal/mol of atoms
raw formation energy	-5.87	eV per formula unit
energy	-3.7535	eV per atom
size of the total moment	2.00	μB per formula unit